First-principles (PBE) data for a relaxed As2Ir2Cl crystal, as listed in Alexandria via LeMat-Bulk.

Cell lengths 7.5940, 7.5940, 3.0084 Å; angles 90.00, 90.00, 90.00 degrees
Fractional positions:
Cl 0.5000 0.5000 0.0000
Cl 0.0000 0.0000 0.0000
As 0.8567 0.3567 0.5000
As 0.6433 0.8567 0.5000
As 0.3567 0.1433 0.5000
As 0.1433 0.6433 0.5000
Ir 0.8683 0.6317 0.0000
Ir 0.3683 0.8683 0.0000
Ir 0.6317 0.1317 0.0000
Ir 0.1317 0.3683 0.0000

Output
Energy above the lowest structure with this stoichiometry = 0.000 eV/f.u.
DFT total energy = -5.609 eV per atom
ΔE_f (raw) = 164.8 meV/atom

First-principles (PBE) data for a relaxed AsIr3Cl crystal, as listed in Alexandria via LeMat-Bulk.

Cell lengths 4.6537, 4.6537, 4.6537 Å; angles 90.00, 90.00, 90.00 degrees
Each line ends with the local moment (μB).
Fractional positions:
Cl 0.5000 0.5000 0.5000  0.15
As 0.0000 0.0000 0.0000  -0.03
Ir 0.0000 0.5000 0.0000  0.64
Ir 0.0000 0.0000 0.5000  0.67
Ir 0.5000 0.0000 0.0000  0.38

Output
Energy above the lowest structure with this stoichiometry = 0.000 eV/f.u.
DFT total energy = -5.165 eV per atom
ΔE_f (raw) = 1450.9 meV/atom

First-principles (PBE) data for a relaxed AsIrCl3 crystal, as listed in Alexandria via LeMat-Bulk.

Cell lengths 5.0591, 5.0591, 5.0591 Å; angles 90.00, 90.00, 90.00 degrees
Each line ends with the local moment (μB).
Fractional positions:
Ir 0.5000 0.5000 0.5000  2.70
Cl 0.0000 0.5000 0.0000  0.07
Cl 0.0000 0.0000 0.5000  0.04
Cl 0.5000 0.0000 0.0000  0.06
As 0.0000 0.0000 0.0000  -0.03

Output
Energy above the lowest structure with this stoichiometry = 2.393 eV/f.u.
DFT total energy = -2.867 eV per atom
ΔE_f (raw) = 943.0 meV/atom

First-principles (PBE) data for a relaxed La4AsIrCl2 crystal, as listed in Alexandria via LeMat-Bulk.

Cell lengths 4.1838, 7.6906, 7.4669 Å; angles 108.57, 90.00, 90.00 degrees
Fractional positions:
As 0.5000 0.5000 0.0000
Ir 0.0000 0.0000 0.0000
La 0.5000 0.2216 0.2152
La 0.5000 0.7784 0.7848
La 0.0000 0.2496 0.7684
La 0.0000 0.7504 0.2316
Cl 0.0000 0.5000 0.5000
Cl 0.5000 0.0000 0.5000

Output
DFT total energy = -6.061 eV per atom
ΔE_f (raw) = -1447.0 meV/atom

First-principles (PBE) data for a relaxed MoAsIr2Cl crystal, as listed in Alexandria via LeMat-Bulk.

Cell lengths 4.3982, 4.7764, 4.3982 Å; angles 90.00, 90.00, 90.00 degrees
Each line ends with the local moment (μB).
Fractional positions:
Ir 0.0000 0.0000 0.5000  -0.07
Ir 0.5000 0.0000 0.0000  -0.02
As 0.0000 0.5000 0.0000  -0.11
Mo 0.5000 0.5000 0.5000  2.36
Cl 0.0000 0.0000 0.0000  -0.01

Output
DFT total energy = -5.307 eV per atom
ΔE_f (raw) = 1703.0 meV/atom

First-principles (PBE) data for a relaxed NaAs2IrCl crystal, as listed in Alexandria via LeMat-Bulk.

Cell lengths 4.5939, 9.9978, 4.5939 Å; angles 90.00, 90.00, 90.00 degrees
Fractional positions:
Na 0.5000 0.5000 0.5000
Ir 0.0000 0.0000 0.0000
As 0.5000 0.0000 0.0000
As 0.0000 0.0000 0.5000
Cl 0.0000 0.5000 0.0000

Output
DFT total energy = -4.349 eV per atom
ΔE_f (raw) = -84.1 meV/atom

First-principles (PBE) data for a relaxed Nd6AsIr2Cl3 crystal, as listed in Alexandria via LeMat-Bulk.

Cell lengths 4.1604, 8.8201, 9.6733 Å; angles 105.27, 102.42, 90.00 degrees
Fractional positions:
Cl 0.8433 0.1626 0.6866
Cl 0.5000 0.5000 0.0000
Cl 0.1567 0.8374 0.3134
Nd 0.9844 0.7559 0.9688
Nd 0.3248 0.4371 0.6496
Nd 0.3350 0.8803 0.6701
Nd 0.0156 0.2441 0.0312
Nd 0.6752 0.5629 0.3504
Nd 0.6650 0.1197 0.3299
Ir 0.8315 0.6631 0.6630
Ir 0.1685 0.3369 0.3370
As 0.5000 0.0000 0.0000

Output
DFT total energy = -5.991 eV per atom
ΔE_f (raw) = -1280.8 meV/atom

First-principles (PBE) data for a relaxed Nd8AsIr3Cl4 crystal, as listed in Alexandria via LeMat-Bulk.

Cell lengths 8.4028, 8.8323, 8.4020 Å; angles 118.42, 120.00, 90.00 degrees
Fractional positions:
Cl 0.0000 0.0000 0.5000
Cl 0.0000 0.0000 0.0000
Cl 0.5000 0.0000 0.5000
Cl 0.5000 0.0000 0.0000
Nd 0.2783 0.2918 0.0350
Nd 0.7566 0.2917 0.5132
Nd 0.2433 0.7082 0.9650
Nd 0.7351 0.7051 0.4702
Nd 0.7567 0.2918 0.0350
Nd 0.2434 0.7083 0.4868
Nd 0.7217 0.7082 0.9650
Nd 0.2649 0.2949 0.5298
Ir 0.5000 0.5000 0.5000
Ir 0.0000 0.5000 0.5000
Ir 0.5000 0.5000 0.0000
As 0.0000 0.5000 0.0000

Output
DFT total energy = -6.035 eV per atom
ΔE_f (raw) = -1237.2 meV/atom

First-principles (PBE) data for a relaxed Pm4AsIrCl2 crystal, as listed in Alexandria via LeMat-Bulk.

Cell lengths 4.0919, 7.4182, 7.5337 Å; angles 71.87, 90.00, 90.00 degrees
Fractional positions:
Pm 0.5000 0.2802 0.7511
Pm 0.0000 0.2904 0.2201
Pm 0.0000 0.7096 0.7799
Pm 0.5000 0.7198 0.2489
As 0.0000 0.5000 0.5000
Ir 0.5000 0.5000 0.0000
Cl 0.5000 0.0000 0.5000
Cl 0.0000 0.0000 0.0000

Output
DFT total energy = -5.848 eV per atom
ΔE_f (raw) = -1322.7 meV/atom

First-principles (PBE) data for a relaxed ScAsIr2Cl crystal, as listed in Alexandria via LeMat-Bulk.

Cell lengths 4.8494, 4.6328, 4.8494 Å; angles 90.00, 90.00, 90.00 degrees
Fractional positions:
Ir 0.5000 0.0000 0.0000
Ir 0.0000 0.0000 0.5000
As 0.5000 0.5000 0.5000
Sc 0.0000 0.0000 0.0000
Cl 0.0000 0.5000 0.0000

Output
DFT total energy = -5.202 eV per atom
ΔE_f (raw) = 907.6 meV/atom

First-principles (PBE) data for a relaxed AsIrSe2Cl crystal, as listed in Alexandria via LeMat-Bulk.

Cell lengths 4.8192, 4.8192, 4.6996 Å; angles 90.00, 90.00, 90.00 degrees
Fractional positions:
Ir 0.5000 0.5000 0.5000
Se 0.5000 0.0000 0.0000
Se 0.0000 0.5000 0.0000
Cl 0.0000 0.0000 0.0000
As 0.0000 0.0000 0.5000

Output
Energy above the lowest structure with this stoichiometry = 5.545 eV/f.u.
DFT total energy = -2.828 eV per atom
ΔE_f (raw) = 1637.4 meV/atom

First-principles (PBE) data for a relaxed AsIrSe2Cl crystal, as listed in Alexandria via LeMat-Bulk.

Cell lengths 4.9320, 4.9320, 4.9043 Å; angles 90.00, 90.00, 90.00 degrees
Fractional positions:
Se 0.5000 0.0000 0.0000
Se 0.0000 0.5000 0.0000
Cl 0.5000 0.5000 0.5000
Ir 0.0000 0.0000 0.0000
As 0.0000 0.0000 0.5000

Output
Energy above the lowest structure with this stoichiometry = 0.000 eV/f.u.
DFT total energy = -3.937 eV per atom
ΔE_f (raw) = 528.4 meV/atom

> Which value of DFT total energy does entry 9 give?

-5.848 eV per atom